# Pm2Zn5Si3 PBE-GGA optimized geometry
# * E_tot: -3.531 eV/atom
# * magnetic moment: 0.00 μB per cell
# * calculated volume: 184 Å³/cell
data_Pm2Zn5Si3
_cell_length_a 4.3151
_cell_length_b 4.3151
_cell_length_c 9.8773
_cell_angle_alpha 90.00
_cell_angle_beta 90.00
_cell_angle_gamma 90.00
_symmetry_space_group_name_H-M 'P -4 m 2'
_symmetry_Int_Tables_number 115
loop_
_symmetry_equiv_pos_as_xyz
'x,y,z'
'y,-x,-z'
'-x,-y,z'
'-y,x,-z'
'-x,y,z'
'-y,-x,-z'
'x,-y,z'
'y,x,-z'
loop_
_atom_site_label
_atom_site_fract_x
_atom_site_fract_y
_atom_site_fract_z
_atom_site_occupancy
Pm1 0.0000 0.5000 0.2421 1
Zn1 0.0000 0.0000 0.5000 1
Zn2 0.0000 0.5000 0.6337 1
Zn3 0.5000 0.5000 0.0000 1
Zn4 0.5000 0.5000 0.5000 1
Si1 0.0000 0.0000 0.0000 1
Si2 0.0000 0.5000 0.8764 1